SCAN SrAgIr2, PBEsol geometry; ΔE_f = 0.416 eV/atom; offset from the most stable computed form = 0.99 eV/f.u.; symmetry = No. 71
1.0
-0.515 2.566 -1.318
-3.214 -2.140 -2.911
-1.769 0.753 5.416
Ir Sr Ag
2 1 1
Direct
0.268 0.268 0.536
0.732 0.732 0.464
0.500 0.000 0.000
0.000 0.500 0.000